# GGA-PBE LaZnSb4, relaxed
data_LaZnSb4
_chemical_formula_sum 'La4 Zn4 Sb16'
_space_group_name_H-M_alt 'F -4 3 m'
_space_group_IT_number 216
_space_group_name_Hall 'F -4 2 3'
_cell_length_a 8.878
_cell_length_b 8.878
_cell_length_c 8.878
_cell_angle_alpha 90.00
_cell_angle_beta 90.00
_cell_angle_gamma 90.00
loop_
_atom_site_label
_atom_site_fract_x
_atom_site_fract_y
_atom_site_fract_z
_atom_site_occupancy
La1 0.000 0.000 0.000 1
Zn1 0.250 0.250 0.250 1
Sb1 0.124 0.124 0.624 1
# V = 29.16 Å³ per atom
# Raw formation energy = -0.8 eV/f.u.
# Total DFT energy (no corrections) = -3.914 eV/atom
# Theoretical density = 6.6 g cm⁻³
# Total magnetic moment = 0.0 μB/cell